Rb2AlB: relaxed, PBE-GGA.

## Properties
Formation energy from the elements: 0.498 eV/atom
Mass density: 1.989 g cm⁻³
N(E_F): 0.42 states/eV/atom
Magnetization: 0.00 μB per cell
E above lowest polymorph: 0.0000 eV per atom

CIF file:
```
data_Rb2AlB
_cell_length_a 13.1234
_cell_length_b 13.1234
_cell_length_c 4.0466
_cell_angle_alpha 90.00
_cell_angle_beta 90.00
_cell_angle_gamma 90.00
_space_group_name_H-M_alt 'I -4 2 d'
_space_group_IT_number 122
_space_group_name_Hall 'I -4 2bw'
loop_
_atom_site_label
_atom_site_type_symbol
_atom_site_fract_x
_atom_site_fract_y
_atom_site_fract_z
Rb1 Rb 0.0421 0.2500 0.1250
Al1 Al 0.0000 0.0000 0.5000
B1 B 0.0000 0.0000 0.0000
```